The following is a DFT calculation (SCAN) of RePtPb2 at its PBEsol-relaxed geometry.

- Mass density: 17379 kg/m³
- Raw total energy: -72.379 eV/atom
- Energy relative to the elements: 322 kJ/mol of formula units

Unit cell a=6.635 b=6.644 c=3.449 alpha=90.00 beta=90.00 gamma=90.00
Space group Cmmm (No. 65)
One atom of each set of equivalent atoms:
Re 0.000 0.000 0.000
Pt 0.000 0.500 0.000
Pb 0.250 0.250 0.500

The following is a DFT calculation (SCAN) of Re2PtPb at its PBEsol-relaxed geometry.

- Mass density: 19326 kg/m³
- Raw total energy: -71.204 eV/atom
- Energy relative to the elements: 324 kJ/mol of formula units

Unit cell a=2.9086 b=2.9086 c=27.2564 alpha=90.00 beta=90.00 gamma=120.00
Space group R-3m (No. 166, hexagonal axes)
One atom of each set of equivalent atoms:
Re 0.0000 0.0000 0.2444
Pt 0.0000 0.0000 0.5000
Pb 0.0000 0.0000 0.0000

The following is a DFT calculation (SCAN) of PtRhPb2 at its PBEsol-relaxed geometry.

- Mass density: 14991 kg/m³
- Raw total energy: -63.699 eV/atom
- Energy relative to the elements: 71 kJ/mol of formula units

Unit cell a=4.568 b=3.381 c=5.594 alpha=90.00 beta=114.05 gamma=90.00
Space group P2/m (No. 10)
One atom of each set of equivalent atoms:
Pt 0.000 0.000 0.000
Rh 0.000 0.500 0.500
Pb 0.500 0.000 0.500
Pb 0.500 0.500 0.000

The following is a DFT calculation (SCAN) of PtRhPb2 at its PBEsol-relaxed geometry.

- Mass density: 14933 kg/m³
- Raw total energy: -63.932 eV/atom
- Energy relative to the elements: -19 kJ/mol of formula units

Unit cell a=4.166 b=3.577 c=10.632 alpha=90.00 beta=90.00 gamma=90.00
Space group Amm2 (No. 38)
One atom of each set of equivalent atoms:
Pt 0.000 0.000 0.000
Rh 0.500 0.000 0.834
Pb 0.000 0.000 0.272
Pb 0.500 0.000 0.568

The following is a DFT calculation (SCAN) of Pt2RhPb at its PBEsol-relaxed geometry.

- Mass density: 17785 kg/m³
- Raw total energy: -62.386 eV/atom
- Energy relative to the elements: 38 kJ/mol of formula units

Unit cell a=4.164 b=4.164 c=7.543 alpha=90.00 beta=90.00 gamma=90.00
Space group I-4m2 (No. 119)
One atom of each set of equivalent atoms:
Pt 0.000 0.000 0.000
Pt 0.000 0.500 0.250
Rh 0.000 0.000 0.500
Pb 0.000 0.500 0.750

The following is a DFT calculation (SCAN) of Pt2RhPb at its PBEsol-relaxed geometry.

- Mass density: 17579 kg/m³
- Raw total energy: -62.330 eV/atom
- Energy relative to the elements: 60 kJ/mol of formula units

Unit cell a=2.950 b=4.647 c=9.651 alpha=90.00 beta=90.00 gamma=90.00
Space group Immm (No. 71)
One atom of each set of equivalent atoms:
Pt 0.000 0.000 0.246
Rh 0.000 0.500 0.500
Pb 0.000 0.500 0.000

- Which of these has the highest raw total energy?
  number 6